1.
! Lu2BPb | OQMD | PBE-GGA | optimized geometry; values from VASP
! - symmetry = P6_3/mmc
&SYSTEM
  ibrav = 0, nat = 8, ntyp = 3
/
ATOMIC_SPECIES
Lu 174.97 Lu.upf
B 10.81 B.upf
Pb 207.20 Pb.upf
CELL_PARAMETERS angstrom
3.612 0.000 0.000
-1.806 3.128 0.000
0.000 0.000 16.294
ATOMIC_POSITIONS crystal
Lu 0.333 0.667 0.088
Lu 0.333 0.667 0.412
Lu 0.667 0.333 0.588
Lu 0.667 0.333 0.912
B 0.000 0.000 0.000
B 0.000 0.000 0.500
Pb 0.333 0.667 0.750
Pb 0.667 0.333 0.250


2.
! Lu4B3Pb | OQMD | PBE-GGA | optimized geometry; values from VASP
! - symmetry = P6_3/mmc
&SYSTEM
  ibrav = 0, nat = 16, ntyp = 3
/
ATOMIC_SPECIES
Lu 174.97 Lu.upf
B 10.81 B.upf
Pb 207.20 Pb.upf
CELL_PARAMETERS angstrom
3.505 0.000 0.000
-1.753 3.035 0.000
0.000 0.000 30.130
ATOMIC_POSITIONS crystal
Lu 0.000 0.000 0.161
Lu 0.000 0.000 0.339
Lu 0.000 0.000 0.661
Lu 0.000 0.000 0.839
Lu 0.333 0.667 0.055
Lu 0.333 0.667 0.445
Lu 0.667 0.333 0.555
Lu 0.667 0.333 0.945
B 0.000 0.000 0.000
B 0.000 0.000 0.500
B 0.333 0.667 0.612
B 0.333 0.667 0.888
B 0.667 0.333 0.112
B 0.667 0.333 0.388
Pb 0.333 0.667 0.250
Pb 0.667 0.333 0.750


3.
! LuBPd | OQMD | PBE-GGA | optimized geometry; values from VASP
! - symmetry = F-43m
&SYSTEM
  ibrav = 0, nat = 3, ntyp = 3
/
ATOMIC_SPECIES
Lu 174.97 Lu.upf
B 10.81 B.upf
Pd 106.42 Pd.upf
CELL_PARAMETERS angstrom
0.000 2.905 2.905
2.905 0.000 2.905
2.905 2.905 0.000
ATOMIC_POSITIONS crystal
Lu 0.000 0.000 0.000
B 0.250 0.250 0.250
Pd 0.500 0.500 0.500


4.
! LuB2Pd | OQMD | PBE-GGA | optimized geometry; values from VASP
! - symmetry = F-43m
&SYSTEM
  ibrav = 0, nat = 4, ntyp = 3
/
ATOMIC_SPECIES
Lu 174.97 Lu.upf
B 10.81 B.upf
Pd 106.42 Pd.upf
CELL_PARAMETERS angstrom
0.000 3.007 3.007
3.007 0.000 3.007
3.007 3.007 0.000
ATOMIC_POSITIONS crystal
Lu 0.000 0.000 0.000
B 0.250 0.250 0.250
B 0.500 0.500 0.500
Pd 0.750 0.750 0.750


no.,DFT total energy (eV/atom)
1,-5.096
2,-5.232
3,-5.671
4,-5.125